# 1
Pa3AlCo9Si2 after structural relaxation. Source: the Alexandria database, functional PBE.

```
Pa3AlCo9Si2
1.0
5.144 0.000 0.000
-2.572 4.455 0.000
0.000 0.000 10.210
Pa Al Co Si
3 1 9 2
direct
0.000 0.000 0.000
0.333 0.667 0.667
0.667 0.333 0.333
0.000 0.000 0.500
0.000 0.500 0.000
0.163 0.326 0.319
0.163 0.837 0.319
0.326 0.163 0.681
0.500 0.000 0.000
0.500 0.500 0.000
0.674 0.837 0.319
0.837 0.163 0.681
0.837 0.674 0.681
0.333 0.667 0.162
0.667 0.333 0.838
```

Properties
The space-group type is P-3m1. The calculation puts the uncorrected formation energy at -265 meV per atom.

=====

# 2
Pa2AlCo6Si after structural relaxation. Source: the Alexandria database, functional PBE.

```
Pa2AlCo6Si
1.0
2.566 1.482 6.895
-2.566 1.482 6.895
0.000 -2.963 6.895
Pa Al Co Si
2 1 6 1
direct
0.241 0.241 0.241
0.759 0.759 0.759
0.500 0.500 0.500
0.248 0.248 0.736
0.248 0.736 0.248
0.264 0.752 0.752
0.736 0.248 0.248
0.752 0.264 0.752
0.752 0.752 0.264
0.000 0.000 0.000
```

Properties
The space-group type is R-3m. The calculation puts the uncorrected formation energy at -232 meV per atom.

=====

# 3
PaAlCoTc after structural relaxation. Source: the Alexandria database, functional PBE.

```
PaAlCoTc
1.0
0.000 3.211 3.211
3.211 0.000 3.211
3.211 3.211 0.000
Pa Al Co Tc
1 1 1 1
direct
0.000 0.000 0.000
0.500 0.500 0.500
0.250 0.250 0.250
0.750 0.750 0.750
```

Properties
The space-group type is F-43m. The calculation puts the calculated formation energy at -0.331 eV per atom.

=====

# 4
PaAlZnCo after structural relaxation. Source: the Alexandria database, functional PBE.

```
PaAlZnCo
1.0
0.000 3.244 3.244
3.244 0.000 3.244
3.244 3.244 0.000
Pa Al Zn Co
1 1 1 1
direct
0.000 0.000 0.000
0.500 0.500 0.500
0.750 0.750 0.750
0.250 0.250 0.250
```

Properties
The space-group type is F-43m. The calculation puts the calculated formation energy at -0.191 eV per atom.

=====

# 5
AlCoPb2 after structural relaxation. Source: the Alexandria database, functional PBE.

```
AlCoPb2
1.0
4.163 0.000 0.000
0.000 4.091 0.000
-2.079 0.000 4.996
Al Co Pb
1 1 2
direct
0.000 0.000 0.000
0.876 0.500 0.756
0.292 0.000 0.583
0.585 0.500 0.172
```

Properties
The space-group type is Pm. The calculation puts the calculated formation energy at 0.231 eV per atom. Its energy above the lowest structure with this stoichiometry is 156 meV per atom.

=====

# 6
AlCoPb2 after structural relaxation. Source: the Alexandria database, functional PBE.

```
AlCoPb2
1.0
3.273 -3.882 0.000
3.273 3.882 0.000
0.000 0.000 3.416
Al Co Pb
1 1 2
direct
0.000 0.000 0.000
0.500 0.500 0.000
0.000 0.500 0.500
0.500 0.000 0.500
```

Properties
The space-group type is Cmmm. The calculation puts the calculated formation energy at 0.546 eV per atom. Its energy above the lowest structure with this stoichiometry is 470 meV per atom.